InMoI2O: relaxed, PBE with a Hubbard U.

Energy, eV per atom: -3.601
Fermi-level density of states, states/eV per atom: 0.34
Offset from the most stable computed form, eV/atom: 0.5051
Symmetry: P4/mmm (123)

abc: 6.079 6.079 3.972
angles: 90.00 90.00 90.00
Sites, in units of the cell vectors:
I: 0.000 0.500 0.000
I: 0.500 0.000 0.000
Mo: 0.500 0.500 0.500
O: 0.000 0.000 0.500
In: 0.000 0.000 0.000